Entry 1:
The following is a DFT calculation (PBE) of crystalline AcCoB3Os at its relaxed geometry.

a = 5.3359 Å, b = 5.9401 Å, c = 5.8420 Å
α = 90.00°, β = 117.10°, γ = 90.00°
Fractional coordinates of all 12 atoms:
Ac 0.2394 0.2500 0.4782
Ac 0.7606 0.7500 0.5218
Co 0.0886 0.7500 0.1787
Co 0.9114 0.2500 0.8213
B 0.1807 0.9997 0.9996
B 0.1807 0.5003 0.9996
B 0.2737 0.7500 0.5478
B 0.7263 0.2500 0.4522
B 0.8193 0.0003 0.0004
B 0.8193 0.4997 0.0004
Os 0.4620 0.7500 0.9246
Os 0.5380 0.2500 0.0754

## Properties
**N(E_F)**: 3.77 states/eV per cell
**Total DFT energy (no corrections)**: -87.46 eV for the cell shown
**Symmetry**: No. 11
**Size of the total moment**: 0.0 μB per cell

***

Entry 2:
The following is a DFT calculation (PBE) of crystalline SrAsP2Se8 at its relaxed geometry.

a = 6.3228 Å, b = 6.3228 Å, c = 9.2381 Å
α = 90.00°, β = 90.00°, γ = 120.00°
Fractional coordinates of all 12 atoms:
Sr 0.0000 0.0000 0.0000
As 0.0000 0.0000 0.5000
P 0.3333 0.6667 0.7515
P 0.6667 0.3333 0.2485
Se 0.0073 0.6862 0.3059
Se 0.3137 0.3211 0.3059
Se 0.3211 0.0073 0.6941
Se 0.3333 0.6667 0.9892
Se 0.6667 0.3333 0.0108
Se 0.6789 0.9927 0.3059
Se 0.6862 0.6789 0.6941
Se 0.9927 0.3137 0.6941

## Properties
**N(E_F)**: 8.74 states/eV per cell
**Total DFT energy (no corrections)**: -48.68 eV for the cell shown
**Symmetry**: No. 147
**Energy relative to the elements, uncorrected**: -29.3 kJ per mole of atoms
**Size of the total moment**: 0.0 μB per cell